Here is CaAlCl2 after structural relaxation from Alexandria via LeMat-Bulk. Energies are from PBE.

The structure in extended XYZ format:
```
4
Lattice="-0.3811 1.7713 5.0035 -2.1405 -4.8082 0.7860 2.3839 -3.0016 3.6881" Properties=species:S:1:pos:R:3 pbc="T T T"
Ca 0.1217 -3.9049 2.2370
Al 1.0014 -0.6151 4.3458
Cl 0.0000 0.0000 0.0000
Cl -1.2608 -1.5184 2.8947
```

Computed properties:
Calculated total energy   -3.38 eV/atom
DOS(E_F)   0.229 states/eV/atom